Computed, not measured: a relaxed structure of Ca2HgOsN at the GGA-PBE level of DFT.

E_form (uncorrected), eV/atom: -0.496
Space group: No. 123

a = 5.1253 Å, b = 5.1253 Å, c = 3.8115 Å
α = 90.00°, β = 90.00°, γ = 90.00°
Element x y z (fractional)
1 Ca 0.0000 0.5000 0.0000
2 Ca 0.5000 0.0000 0.0000
3 Hg 0.0000 0.0000 0.5000
4 Os 0.5000 0.5000 0.5000
5 N 0.5000 0.5000 0.0000